LiBeAlGa: optimized geometry, GGA-PBE.

- energy of formation (eV per atom) = 0.055
- density (g cm⁻³) = 3.4
- N(E_F) (states/eV per cell) = 0.5

Lattice parameters (Å, degrees): 4.254 4.254 4.254 60.00 60.00 60.00
Positions (direct):
Li1 0.000 0.000 0.000
Be1 0.500 0.500 0.500
Al1 0.250 0.250 0.250
Ga1 0.750 0.750 0.750